Entry 1:
First-principles (PBE-GGA) data for a relaxed BiSbAu3 crystal, as listed in the Alexandria database.

## Properties
Its space group is P-1, No. 2. The calculation puts the offset from the most stable computed form at 3 meV per atom. As for the volume: 23.21 Å³/atom. Its density of states at the Fermi level is 1.65 states/eV/f.u. For the uncorrected formation energy, the calculation gives 0.019 eV/atom.

```
10
Lattice="-0.8183 -4.5757 -5.1527 1.0047 -5.8615 3.8362 -3.8582 0.7807 5.2680" Properties=species:S:1:pos:R:3 pbc="T T T"
Au -2.7857 -8.0505 4.3523
Au -0.9251 -2.5791 0.6934
Au -3.3921 -5.8377 6.1088
Au -2.4382 -2.9286 3.3799
Au -1.4461 -3.3199 -2.0634
Au -1.8322 -5.1432 1.6242
Bi -0.7947 -5.5893 4.3053
Bi -0.5701 -6.1711 -1.8407
Sb -3.5234 -4.8465 -0.6279
Sb -3.0218 -7.7779 1.2882
```

Entry 2:
First-principles (PBE-GGA) data for a relaxed Ba2NaCaGe crystal, as listed in the Alexandria database.

## Properties
Its space group is P4/mmm, No. 123. As for the volume: 50.73 Å³/atom. As for the formation energy from the elements: -0.1970 eV per atom. Its density of states at the Fermi level is 4.00 states/eV/f.u.

```
5
Lattice="-4.8935 3.3640 2.8948 -2.0603 -5.5386 2.9533 3.4579 1.1302 4.5319" Properties=species:S:1:pos:R:3 pbc="T T T"
Ba -1.0302 -2.7693 1.4766
Ba -2.4468 1.6820 1.4474
Ca 1.7289 0.5651 2.2660
Ge 0.0000 0.0000 0.0000
Na -1.7480 -0.5222 5.1900
```

Entry 3:
First-principles (PBE-GGA) data for a relaxed TiIr2PbAu crystal, as listed in the Alexandria database.

## Properties
Its space group is P4/mmm, No. 123. As for the volume: 25.00 Å³/atom. As for the formation energy from the elements: 1.8602 eV per atom. Its density of states at the Fermi level is 7.02 states/eV/f.u.

```
5
Lattice="4.9594 0.0000 0.0000 0.0000 4.9594 0.0000 0.0000 0.0000 5.0828" Properties=species:S:1:pos:R:3 pbc="T T T"
Au 2.4797 2.4797 2.5414
Ir 2.4797 0.0000 0.0000
Ir 0.0000 2.4797 0.0000
Pb 0.0000 0.0000 0.0000
Ti 0.0000 0.0000 2.5414
```

Entry 4:
First-principles (PBE-GGA) data for a relaxed RbPa4Cu3Se12 crystal, as listed in the Alexandria database.

## Properties
Its space group is Im-3, No. 204. As for the volume: 27.04 Å³/atom. For the uncorrected formation energy, the calculation gives -0.953 eV/atom.

```
20
Lattice="-1.9070 -1.4933 -8.5528 -3.9604 -6.1603 5.0382 -2.9324 8.0628 2.3256" Properties=species:S:1:pos:R:3 pbc="T T T"
Se -4.8076 -4.0932 -3.4425
Se -3.9922 4.5025 2.2535
Se -3.1212 0.4096 -5.6017
Se -5.6786 -0.0004 4.4127
Se -2.7143 2.4244 -0.7481
Se -6.1036 1.7482 0.9887
Se -4.3440 -4.3792 1.8001
Se -4.4558 4.7885 -2.9891
Se -5.6016 1.0943 -2.9517
Se -2.6961 -1.3390 -2.1777
Se -6.0855 -2.0151 -0.4409
Se -3.1981 -0.6850 1.7627
Cu -2.9337 -3.8268 -1.7573
Cu -2.4197 3.2848 -3.1136
Cu -3.4464 0.9513 3.6819
Rb 0.0000 0.0000 0.0000
Pa -1.4662 4.0314 1.1628
Pa -1.9802 -3.0801 2.5191
Pa -4.3999 0.2046 -0.5945
Pa -0.9535 -0.7467 -4.2764
```

Entry 5:
First-principles (PBE-GGA) data for a relaxed AlWN3 crystal, as listed in the Alexandria database.

## Properties
Its space group is P-1, No. 2. As for the volume: 16.88 Å³/atom. Its density of states at the Fermi level is 0.00 states/eV/f.u. For the uncorrected formation energy, the calculation gives -0.428 eV/atom.

```
20
Lattice="5.5355 0.0021 0.0013 0.2364 6.0416 -0.0006 1.4195 1.2826 10.0979" Properties=species:S:1:pos:R:3 pbc="T T T"
W 4.5017 2.1501 3.9099
W 0.4287 5.6926 1.3203
W 6.7627 1.6337 8.7783
W 2.6896 5.1762 6.1888
N 5.0788 0.5665 3.0023
N 2.1126 6.7598 7.0963
N 5.5631 2.8772 8.2960
N 1.6283 4.4491 1.8026
N 5.4471 2.4177 5.4868
N 2.6715 2.1624 4.2502
N 4.5198 5.1639 5.8485
N 1.7443 4.9086 4.6118
N 6.2367 6.4694 9.9777
N 4.5091 3.8548 3.1019
N 2.6822 3.4715 6.9967
N 0.9546 0.8569 0.1209
Al 2.5881 3.9177 3.2268
Al 1.7440 2.2077 5.8940
Al 5.4473 5.1186 4.2047
Al 4.6032 3.4086 6.8718
```

Entry 6:
First-principles (PBE-GGA) data for a relaxed NaCd2CoPb crystal, as listed in the Alexandria database.

## Properties
Its space group is P4/mmm, No. 123. As for the volume: 25.61 Å³/atom. As for the formation energy from the elements: 0.0995 eV per atom. Its density of states at the Fermi level is 2.62 states/eV/f.u.

```
5
Lattice="-0.3212 5.0791 -0.2613 -3.7487 -0.0595 3.4514 3.3261 0.3966 3.6194" Properties=species:S:1:pos:R:3 pbc="T T T"
Cd -0.1606 2.5395 -0.1306
Cd -1.8743 -0.0298 1.7257
Na -0.3719 2.7080 3.4048
Pb 1.6630 0.1983 1.8097
Co 0.0000 0.0000 0.0000
```

Entry 7:
First-principles (PBE-GGA) data for a relaxed HgSe3Br crystal, as listed in the Alexandria database.

## Properties
Its space group is Pm-3m, No. 221. The calculation puts the offset from the most stable computed form at 0 meV per atom. As for the volume: 29.86 Å³/atom. Its density of states at the Fermi level is 8.13 states/eV/f.u. For the uncorrected formation energy, the calculation gives 0.810 eV/atom.

```
5
Lattice="5.3047 0.0000 0.0000 0.0000 5.3047 0.0000 0.0000 0.0000 5.3047" Properties=species:S:1:pos:R:3 pbc="T T T"
Se 0.0000 2.6524 0.0000
Se 0.0000 0.0000 2.6524
Se 2.6524 0.0000 0.0000
Hg 0.0000 0.0000 0.0000
Br 2.6524 2.6524 2.6524
```

Entry 8:
First-principles (PBE-GGA) data for a relaxed SrBP2O crystal, as listed in the Alexandria database.

## Properties
Its space group is P4/mmm, No. 123. The calculation puts the offset from the most stable computed form at 17 meV per atom. As for the volume: 17.74 Å³/atom. Its density of states at the Fermi level is 3.12 states/eV/f.u. For the uncorrected formation energy, the calculation gives -0.141 eV/atom.

```
5
Lattice="-3.0307 -1.4285 1.7997 1.0443 -3.5098 -1.0272 3.2996 -0.5229 5.1412" Properties=species:S:1:pos:R:3 pbc="T T T"
O 1.6498 -0.2615 2.5706
Sr 0.6566 -2.7306 2.9569
B 0.0000 0.0000 0.0000
P 0.5222 -1.7549 -0.5136
P -1.5153 -0.7143 0.8999
```

Entry 9:
First-principles (PBE-GGA) data for a relaxed PaSn2S4 crystal, as listed in the Alexandria database.

## Properties
Its space group is Cmcm, No. 63. As for the volume: 26.36 Å³/atom. Its density of states at the Fermi level is 3.59 states/eV/f.u. For the uncorrected formation energy, the calculation gives -0.830 eV/atom.

```
14
Lattice="3.7236 0.0000 0.0000 -1.8618 4.9537 0.0000 0.0000 0.0000 20.0059" Properties=species:S:1:pos:R:3 pbc="T T T"
S 0.0000 1.3093 5.0015
S 1.8618 0.0000 0.0000
S 1.8618 0.0000 10.0029
S 1.8618 3.5501 3.1059
S 0.0000 1.4036 13.1088
S 1.8618 3.5501 6.8970
S 1.8618 3.6444 15.0044
S 0.0000 1.4036 16.8999
Sn 0.0000 0.9292 1.7933
Sn 1.8618 4.0245 11.7962
Sn 0.0000 0.9292 8.2096
Sn 1.8618 4.0245 18.2126
Pa 1.8618 0.7622 15.0044
Pa 0.0000 4.1915 5.0015
```

Entry 10:
First-principles (PBE-GGA) data for a relaxed CaRe2O crystal, as listed in the Alexandria database.

## Properties
Its space group is I4_1/amd, No. 141. As for the volume: 20.28 Å³/atom. Its density of states at the Fermi level is 4.67 states/eV/f.u. For the uncorrected formation energy, the calculation gives 0.494 eV/atom.

```
8
Lattice="5.0472 0.0000 0.0000 0.0000 5.0472 0.0000 2.5236 2.5236 6.3675" Properties=species:S:1:pos:R:3 pbc="T T T"
Re 3.7854 5.0471 4.7756
Re 2.5235 3.7854 1.5919
Re 6.3090 5.0473 4.7756
Re 2.5237 1.2618 1.5919
O 2.5236 2.5236 0.0000
O 2.5236 5.0472 3.1838
Ca 0.0000 0.0000 0.0000
Ca 5.0472 2.5236 3.1838
```